No. 1
# PBEsol Hf2ZrBe2, optimized geometry
data_Hf2ZrBe2
_space_group_name_H-M_alt 'P 1'
_space_group_IT_number 1
_space_group_name_Hall 'P 1'
_cell_length_a 7.219
_cell_length_b 7.219
_cell_length_c 3.158
_cell_angle_alpha 90.00
_cell_angle_beta 90.00
_cell_angle_gamma 90.00
loop_
_atom_site_label
_atom_site_type_symbol
_atom_site_fract_x
_atom_site_fract_y
_atom_site_fract_z
Hf1 Hf 0.180 0.320 0.000
Hf2 Hf 0.320 0.820 0.000
Hf3 Hf 0.680 0.180 0.000
Hf4 Hf 0.820 0.680 0.000
Zr1 Zr 0.000 0.000 0.500
Zr2 Zr 0.500 0.500 0.500
Be1 Be 0.110 0.610 0.500
Be2 Be 0.390 0.110 0.500
Be3 Be 0.610 0.890 0.500
Be4 Be 0.890 0.390 0.500
# ρ   9.41 g cm⁻³
# Formation energy   -17 meV/atom
# E   -7.636 eV/atom

No. 2
# PBEsol Mg2InRh, optimized geometry
data_Mg2InRh
_space_group_name_H-M_alt 'P 1'
_space_group_IT_number 1
_space_group_name_Hall 'P 1'
_cell_length_a 4.102
_cell_length_b 4.102
_cell_length_c 4.150
_cell_angle_alpha 90.00
_cell_angle_beta 90.00
_cell_angle_gamma 90.00
loop_
_atom_site_label
_atom_site_type_symbol
_atom_site_fract_x
_atom_site_fract_y
_atom_site_fract_z
Mg1 Mg 0.000 0.500 0.000
Mg2 Mg 0.500 0.000 0.000
In1 In 0.000 0.000 0.500
Rh1 Rh 0.500 0.500 0.500
# ρ   6.33 g cm⁻³
# Formation energy   -288 meV/atom
# E   -3.926 eV/atom

No. 3
# PBEsol Mg2ZrBr, optimized geometry
data_Mg2ZrBr
_space_group_name_H-M_alt 'P 1'
_space_group_IT_number 1
_space_group_name_Hall 'P 1'
_cell_length_a 5.963
_cell_length_b 5.963
_cell_length_c 5.963
_cell_angle_alpha 140.68
_cell_angle_beta 140.68
_cell_angle_gamma 56.82
loop_
_atom_site_label
_atom_site_type_symbol
_atom_site_fract_x
_atom_site_fract_y
_atom_site_fract_z
Mg1 Mg 0.250 0.750 0.500
Mg2 Mg 0.750 0.250 0.500
Zr1 Zr 0.000 0.000 0.000
Br1 Br 0.500 0.500 0.000
# ρ   4.32 g cm⁻³
# Excess energy over the best structure of this formula in the dataset   0.0000 eV/atom
# E   -3.565 eV/atom
# Raw formation energy   0.033 eV per atom

No. 4
# PBEsol YTaIr2, optimized geometry
data_YTaIr2
_space_group_name_H-M_alt 'P 1'
_space_group_IT_number 1
_space_group_name_Hall 'P 1'
_cell_length_a 3.086
_cell_length_b 3.086
_cell_length_c 7.434
_cell_angle_alpha 90.00
_cell_angle_beta 90.00
_cell_angle_gamma 90.00
loop_
_atom_site_label
_atom_site_type_symbol
_atom_site_fract_x
_atom_site_fract_y
_atom_site_fract_z
Y1 Y 0.000 0.000 0.000
Ta1 Ta 0.000 0.000 0.500
Ir1 Ir 0.500 0.500 0.289
Ir2 Ir 0.500 0.500 0.711
# ρ   15.35 g cm⁻³
# Formation energy   -630 meV/atom
# E   -10.385 eV/atom

No. 5
# PBEsol MnFe2Co, optimized geometry
data_MnFe2Co
_space_group_name_H-M_alt 'P 1'
_space_group_IT_number 1
_space_group_name_Hall 'P 1'
_cell_length_a 4.627
_cell_length_b 4.627
_cell_length_c 4.627
_cell_angle_alpha 145.07
_cell_angle_beta 129.64
_cell_angle_gamma 62.75
loop_
_atom_site_label
_atom_site_type_symbol
_atom_site_fract_x
_atom_site_fract_y
_atom_site_fract_z
Mn1 Mn 0.000 0.000 0.000
Fe1 Fe 0.250 0.750 0.500
Fe2 Fe 0.750 0.250 0.500
Co1 Co 0.500 0.500 0.000
# ρ   8.67 g cm⁻³
# Formation energy   93 meV/atom
# E   -8.764 eV/atom

No. 6
# PBEsol Cu2TcIr, optimized geometry
data_Cu2TcIr
_space_group_name_H-M_alt 'P 1'
_space_group_IT_number 1
_space_group_name_Hall 'P 1'
_cell_length_a 2.704
_cell_length_b 2.704
_cell_length_c 6.997
_cell_angle_alpha 90.00
_cell_angle_beta 90.00
_cell_angle_gamma 90.00
loop_
_atom_site_label
_atom_site_type_symbol
_atom_site_fract_x
_atom_site_fract_y
_atom_site_fract_z
Cu1 Cu 0.000 0.000 0.000
Cu2 Cu 0.500 0.500 0.224
Tc1 Tc 0.500 0.500 0.738
Ir1 Ir 0.000 0.000 0.485
# ρ   13.55 g cm⁻³
# Formation energy   41 meV/atom
# Excess energy over the best structure of this formula in the dataset   0.0000 eV/atom
# E   -7.398 eV/atom